Version A
# BaCd2Pb3 | Alexandria | PBE | optimized geometry
# ρ	8.2	g/cm3
data_BaCd2Pb3
_chemical_formula_sum 'Ba4 Cd8 Pb12'
_symmetry_space_group_name_H-M 'I 4/m m m'
_symmetry_Int_Tables_number 139
_symmetry_space_group_name_Hall '-I 4 2'
_cell_length_a 5.0011
_cell_length_b 5.0011
_cell_length_c 31.8480
_cell_angle_alpha 90.00
_cell_angle_beta 90.00
_cell_angle_gamma 90.00
loop_
_atom_site_label
_atom_site_type_symbol
_atom_site_fract_x
_atom_site_fract_y
_atom_site_fract_z
Ba1 Ba 0.0000 0.0000 0.1510
Cd1 Cd 0.0000 0.0000 0.3957
Cd2 Cd 0.0000 0.5000 0.2500
Pb1 Pb 0.0000 0.0000 0.3042
Pb2 Pb 0.0000 0.5000 0.0494


Version B
# BaCd2Pb3 | Alexandria | PBE | optimized geometry
# ρ	8.6	g/cm3
data_BaCd2Pb3
_chemical_formula_sum 'Ba2 Cd4 Pb6'
_symmetry_space_group_name_H-M 'P 63/m m c'
_symmetry_Int_Tables_number 194
_symmetry_space_group_name_Hall '-P 6c 2c'
_cell_length_a 5.3421
_cell_length_b 5.3421
_cell_length_c 15.3155
_cell_angle_alpha 90.00
_cell_angle_beta 90.00
_cell_angle_gamma 120.00
loop_
_atom_site_label
_atom_site_type_symbol
_atom_site_fract_x
_atom_site_fract_y
_atom_site_fract_z
Ba1 Ba 0.0000 0.0000 0.2500
Cd1 Cd 0.3333 0.6667 0.0958
Pb1 Pb 0.0000 0.0000 0.0000
Pb2 Pb 0.3333 0.6667 0.6193


Which one sits at the bottom of the stability order? version A does.


Version A
# Ba3CdPb | Alexandria | PBE | optimized geometry
# ρ	5.0	g/cm3
data_Ba3CdPb
_chemical_formula_sum 'Ba6 Cd2 Pb2'
_symmetry_space_group_name_H-M 'P 1 2 1'
_symmetry_Int_Tables_number 3
_cell_length_a 11.0961
_cell_length_b 4.4414
_cell_length_c 11.0974
_cell_angle_alpha 90.00
_cell_angle_beta 117.79
_cell_angle_gamma 90.00
loop_
_symmetry_equiv_pos_as_xyz
'x,y,z'
'-x,y,-z'
loop_
_atom_site_label
_atom_site_type_symbol
_atom_site_fract_x
_atom_site_fract_y
_atom_site_fract_z
Ba1 Ba 0.0866 0.0000 0.2921
Ba2 Ba 0.2917 0.0015 0.0855
Ba3 Ba 0.3515 0.5010 0.6486
Cd1 Cd 0.0000 0.4996 0.5000
Cd2 Cd 0.5000 0.5017 0.0000
Pb1 Pb 0.0000 0.5008 0.0000
Pb2 Pb 0.5000 0.0010 0.5000


Version B
# Ba3CdPb | Alexandria | PBE | optimized geometry
# ρ	3.9	g/cm3
data_Ba3CdPb
_chemical_formula_sum 'Ba3 Cd1 Pb1'
_symmetry_space_group_name_H-M 'P m -3 m'
_symmetry_Int_Tables_number 221
_symmetry_space_group_name_Hall '-P 4 2 3'
_cell_length_a 6.7837
_cell_length_b 6.7837
_cell_length_c 6.7837
_cell_angle_alpha 90.00
_cell_angle_beta 90.00
_cell_angle_gamma 90.00
loop_
_atom_site_label
_atom_site_type_symbol
_atom_site_fract_x
_atom_site_fract_y
_atom_site_fract_z
Ba1 Ba 0.0000 0.0000 0.5000
Cd1 Cd 0.5000 0.5000 0.5000
Pb1 Pb 0.0000 0.0000 0.0000


Version C
# Ba3CdPb | Alexandria | PBE | optimized geometry
# ρ	5.4	g/cm3
data_Ba3CdPb
_chemical_formula_sum 'Ba12 Cd4 Pb4'
_symmetry_space_group_name_H-M 'C m c m'
_symmetry_Int_Tables_number 63
_symmetry_space_group_name_Hall '-C 2c 2'
_cell_length_a 6.0942
_cell_length_b 24.1810
_cell_length_c 6.0893
_cell_angle_alpha 90.00
_cell_angle_beta 90.00
_cell_angle_gamma 90.00
loop_
_atom_site_label
_atom_site_type_symbol
_atom_site_fract_x
_atom_site_fract_y
_atom_site_fract_z
Ba1 Ba 0.0000 0.0771 0.2500
Ba2 Ba 0.0000 0.2503 0.2500
Ba3 Ba 0.0000 0.4231 0.2500
Cd1 Cd 0.0000 0.1580 0.7500
Pb1 Pb 0.0000 0.3397 0.7500


Which one sits at the bottom of the stability order? version B does.


Version A
# BaCdPb4 | Alexandria | PBE | optimized geometry
# ρ	9.0	g/cm3
data_BaCdPb4
_chemical_formula_sum 'Ba4 Cd4 Pb16'
_symmetry_space_group_name_H-M 'C 1 2/m 1'
_symmetry_Int_Tables_number 12
_cell_length_a 9.8222
_cell_length_b 7.7866
_cell_length_c 11.5032
_cell_angle_alpha 90.00
_cell_angle_beta 115.20
_cell_angle_gamma 90.00
loop_
_symmetry_equiv_pos_as_xyz
'x,y,z'
'-x,-y,-z'
'-x,y,-z'
'x,-y,z'
'x+1/2,y+1/2,z'
'-x+1/2,-y+1/2,-z'
'-x+1/2,y+1/2,-z'
'x+1/2,-y+1/2,z'
loop_
_atom_site_label
_atom_site_type_symbol
_atom_site_fract_x
_atom_site_fract_y
_atom_site_fract_z
Ba1 Ba 0.2416 0.0000 0.0002
Cd1 Cd 0.2500 0.2500 0.5000
Pb1 Pb 0.0666 0.0000 0.6546
Pb2 Pb 0.0872 0.5000 0.6544
Pb3 Pb 0.1044 0.2696 0.2084


Version B
# BaCdPb4 | Alexandria | PBE | optimized geometry
# ρ	8.7	g/cm3
data_BaCdPb4
_chemical_formula_sum 'Ba4 Cd4 Pb16'
_symmetry_space_group_name_H-M 'F -4 3 m'
_symmetry_Int_Tables_number 216
_symmetry_space_group_name_Hall 'F -4 2 3'
_cell_length_a 9.3775
_cell_length_b 9.3775
_cell_length_c 9.3775
_cell_angle_alpha 90.00
_cell_angle_beta 90.00
_cell_angle_gamma 90.00
loop_
_atom_site_label
_atom_site_type_symbol
_atom_site_fract_x
_atom_site_fract_y
_atom_site_fract_z
Ba1 Ba 0.0000 0.0000 0.0000
Cd1 Cd 0.2500 0.2500 0.2500
Pb1 Pb 0.1257 0.1257 0.6257


Which one sits at the bottom of the stability order? version A does.


Version A
# BaCd2PdPb | Alexandria | PBE | optimized geometry
# ρ	7.9	g/cm3
data_BaCd2PdPb
_chemical_formula_sum 'Ba2 Cd4 Pd2 Pb2'
_symmetry_space_group_name_H-M 'I m m 2'
_symmetry_Int_Tables_number 44
_cell_length_a 4.7748
_cell_length_b 4.8565
_cell_length_c 12.2288
_cell_angle_alpha 90.00
_cell_angle_beta 90.00
_cell_angle_gamma 90.00
loop_
_symmetry_equiv_pos_as_xyz
'x,y,z'
'-x,-y,z'
'-x,y,z'
'x,-y,z'
'x+1/2,y+1/2,z+1/2'
'-x+1/2,-y+1/2,z+1/2'
'-x+1/2,y+1/2,z+1/2'
'x+1/2,-y+1/2,z+1/2'
loop_
_atom_site_label
_atom_site_type_symbol
_atom_site_fract_x
_atom_site_fract_y
_atom_site_fract_z
Ba1 Ba 0.0000 0.0000 0.0000
Cd1 Cd 0.0000 0.0000 0.6053
Cd2 Cd 0.0000 0.5000 0.2624
Pd1 Pd 0.0000 0.0000 0.3824
Pb1 Pb 0.0000 0.5000 0.7625


Version B
# BaCd2PdPb | Alexandria | PBE | optimized geometry
# ρ	7.4	g/cm3
data_BaCd2PdPb
_chemical_formula_sum 'Ba1 Cd2 Pd1 Pb1'
_symmetry_space_group_name_H-M 'P 4/m m m'
_symmetry_Int_Tables_number 123
_symmetry_space_group_name_Hall '-P 4 2'
_cell_length_a 5.3011
_cell_length_b 5.3011
_cell_length_c 5.3793
_cell_angle_alpha 90.00
_cell_angle_beta 90.00
_cell_angle_gamma 90.00
loop_
_atom_site_label
_atom_site_type_symbol
_atom_site_fract_x
_atom_site_fract_y
_atom_site_fract_z
Ba1 Ba 0.0000 0.0000 0.0000
Cd1 Cd 0.0000 0.5000 0.5000
Pd1 Pd 0.5000 0.5000 0.5000
Pb1 Pb 0.5000 0.5000 0.0000


Which one sits at the bottom of the stability order? version B does.


Version A
# BaCd2PtPb | Alexandria | PBE | optimized geometry
# ρ	8.3	g/cm3
data_BaCd2PtPb
_chemical_formula_sum 'Ba1 Cd2 Pt1 Pb1'
_symmetry_space_group_name_H-M 'P 4/m m m'
_symmetry_Int_Tables_number 123
_symmetry_space_group_name_Hall '-P 4 2'
_cell_length_a 5.3025
_cell_length_b 5.3025
_cell_length_c 5.4497
_cell_angle_alpha 90.00
_cell_angle_beta 90.00
_cell_angle_gamma 90.00
loop_
_atom_site_label
_atom_site_type_symbol
_atom_site_fract_x
_atom_site_fract_y
_atom_site_fract_z
Ba1 Ba 0.0000 0.0000 0.0000
Cd1 Cd 0.0000 0.5000 0.5000
Pt1 Pt 0.5000 0.5000 0.5000
Pb1 Pb 0.5000 0.5000 0.0000


Version B
# BaCd2PtPb | Alexandria | PBE | optimized geometry
# ρ	9.0	g/cm3
data_BaCd2PtPb
_chemical_formula_sum 'Ba2 Cd4 Pt2 Pb2'
_symmetry_space_group_name_H-M 'I m m 2'
_symmetry_Int_Tables_number 44
_cell_length_a 4.6583
_cell_length_b 4.8397
_cell_length_c 12.5347
_cell_angle_alpha 90.00
_cell_angle_beta 90.00
_cell_angle_gamma 90.00
loop_
_symmetry_equiv_pos_as_xyz
'x,y,z'
'-x,-y,z'
'-x,y,z'
'x,-y,z'
'x+1/2,y+1/2,z+1/2'
'-x+1/2,-y+1/2,z+1/2'
'-x+1/2,y+1/2,z+1/2'
'x+1/2,-y+1/2,z+1/2'
loop_
_atom_site_label
_atom_site_type_symbol
_atom_site_fract_x
_atom_site_fract_y
_atom_site_fract_z
Ba1 Ba 0.0000 0.0000 0.0000
Cd1 Cd 0.0000 0.0000 0.6112
Cd2 Cd 0.0000 0.5000 0.2703
Pt1 Pt 0.0000 0.0000 0.3942
Pb1 Pb 0.0000 0.5000 0.7665


Which one sits at the bottom of the stability order? version A does.


Version A
# Ba2CdRhPb | Alexandria | PBE | optimized geometry
# ρ	6.4	g/cm3
data_Ba2CdRhPb
_chemical_formula_sum 'Ba2 Cd1 Rh1 Pb1'
_symmetry_space_group_name_H-M 'P 4/m m m'
_symmetry_Int_Tables_number 123
_symmetry_space_group_name_Hall '-P 4 2'
_cell_length_a 5.8743
_cell_length_b 5.8743
_cell_length_c 5.2719
_cell_angle_alpha 90.00
_cell_angle_beta 90.00
_cell_angle_gamma 90.00
loop_
_atom_site_label
_atom_site_type_symbol
_atom_site_fract_x
_atom_site_fract_y
_atom_site_fract_z
Ba1 Ba 0.0000 0.5000 0.0000
Cd1 Cd 0.0000 0.0000 0.5000
Rh1 Rh 0.0000 0.0000 0.0000
Pb1 Pb 0.5000 0.5000 0.5000


Version B
# Ba2CdRhPb | Alexandria | PBE | optimized geometry
# ρ	6.0	g/cm3
data_Ba2CdRhPb
_chemical_formula_sum 'Ba2 Cd1 Rh1 Pb1'
_symmetry_space_group_name_H-M 'P 4/m m m'
_symmetry_Int_Tables_number 123
_symmetry_space_group_name_Hall '-P 4 2'
_cell_length_a 6.0716
_cell_length_b 6.0716
_cell_length_c 5.2448
_cell_angle_alpha 90.00
_cell_angle_beta 90.00
_cell_angle_gamma 90.00
loop_
_atom_site_label
_atom_site_type_symbol
_atom_site_fract_x
_atom_site_fract_y
_atom_site_fract_z
Ba1 Ba 0.0000 0.5000 0.0000
Cd1 Cd 0.0000 0.0000 0.5000
Rh1 Rh 0.5000 0.5000 0.0000
Pb1 Pb 0.5000 0.5000 0.5000


Which one sits at the bottom of the stability order? version A does.